# 1
DFT (meta-GGA SCAN) results for BiTeMoRh2 at its PBEsol-relaxed geometry.

abc: 4.7275 4.7275 5.7243
angles: 90.00 90.00 90.00
Last column: nearest neighbours and their distance in Å.
Space group P4/mmm (No. 123)
One atom of each set of equivalent atoms:
Bi 0.0000 0.0000 0.0000 [1 per cell]  2 Te 2.86
Te 0.0000 0.0000 0.5000 [1 per cell]  4 Rh 2.36
Mo 0.5000 0.5000 0.0000 [1 per cell]  4 Bi 3.34, 8 Rh 3.71
Rh 0.0000 0.5000 0.5000 [2 per cell]  2 Te 2.36

Summary:
Uncorrected energy = -211.327 eV/f.u.
DOS at the Fermi energy = 4.60 states/eV/f.u.
Formation energy without anion corrections = 133.8 kJ/mol of atoms
Total moment = 4.5 Bohr magnetons per cell

***

# 2
DFT (meta-GGA SCAN) results for Bi3MoRu at its PBEsol-relaxed geometry.

abc: 5.1843 5.1843 5.1843
angles: 90.00 90.00 90.00
Last column: nearest neighbours and their distance in Å.
Space group Pm-3m (No. 221)
One atom of each set of equivalent atoms:
Bi 0.0000 0.0000 0.5000 [3 per cell]  2 Ru 2.59
Mo 0.5000 0.5000 0.5000 [1 per cell]  12 Bi 3.67
Ru 0.0000 0.0000 0.0000 [1 per cell]  6 Bi 2.59

Summary:
Uncorrected energy = -299.801 eV/f.u.
DOS at the Fermi energy = 2.74 states/eV/f.u.
Total moment = 4.3 Bohr magnetons per cell